# 1
CaMnIn2 after structural relaxation. Source: the Alexandria database, functional GGA-PBE.

Values from the calculation:
Spin magnetization   1.03 μB/atom
Calculated total energy   -4.178 eV per atom
Density   5.71 g/cm3

Structure (CIF):
```
data_CaMnIn2
_chemical_formula_sum 'Ca1 Mn1 In2'
_space_group_name_H-M_alt 'P 1'
_space_group_IT_number 1
_cell_length_a 4.5633
_cell_length_b 4.5633
_cell_length_c 4.5362
_cell_angle_alpha 90.00
_cell_angle_beta 90.00
_cell_angle_gamma 90.00
loop_
_space_group_symop_operation_xyz
'x,y,z'
loop_
_atom_site_label
_atom_site_fract_x
_atom_site_fract_y
_atom_site_fract_z
_atom_site_occupancy
Ca1 0.0000 0.5000 0.5000 1
In1 0.0000 0.0000 0.0000 1
In2 0.5000 0.5000 0.0000 1
Mn1 0.5000 0.0000 0.5000 1
```


# 2
CaMn2In after structural relaxation. Source: the Alexandria database, functional GGA-PBE.

Values from the calculation:
Spin magnetization   1.88 μB/atom
Calculated total energy   -5.192 eV per atom
Density   5.03 g/cm3

Structure (CIF):
```
data_CaMn2In
_chemical_formula_sum 'Ca1 Mn2 In1'
_space_group_name_H-M_alt 'P 1'
_space_group_IT_number 1
_cell_length_a 9.8902
_cell_length_b 9.8902
_cell_length_c 9.8902
_cell_angle_alpha 18.75
_cell_angle_beta 18.75
_cell_angle_gamma 18.75
loop_
_space_group_symop_operation_xyz
'x,y,z'
loop_
_atom_site_label
_atom_site_fract_x
_atom_site_fract_y
_atom_site_fract_z
_atom_site_occupancy
Ca1 0.2500 0.2500 0.2500 1
Mn1 0.4940 0.4940 0.4940 1
Mn2 0.0060 0.0060 0.0060 1
In1 0.7500 0.7500 0.7500 1
```


# 3
Ca2MnIn after structural relaxation. Source: the Alexandria database, functional GGA-PBE.

Values from the calculation:
Spin magnetization   0.95 μB/atom
Calculated total energy   -3.950 eV per atom
Density   3.64 g/cm3

Structure (CIF):
```
data_Ca2MnIn
_chemical_formula_sum 'Ca2 Mn1 In1'
_space_group_name_H-M_alt 'P 1'
_space_group_IT_number 1
_cell_length_a 4.8515
_cell_length_b 3.8186
_cell_length_c 6.4499
_cell_angle_alpha 72.78
_cell_angle_beta 90.00
_cell_angle_gamma 90.00
loop_
_space_group_symop_operation_xyz
'x,y,z'
loop_
_atom_site_label
_atom_site_fract_x
_atom_site_fract_y
_atom_site_fract_z
_atom_site_occupancy
Ca1 0.0000 0.9679 0.9393 1
Ca2 0.5000 0.2810 0.3126 1
In1 0.0000 0.6855 0.5044 1
Mn1 0.5000 0.5655 0.7438 1
```


# 4
CaMn2In after structural relaxation. Source: the Alexandria database, functional GGA-PBE.

Values from the calculation:
Spin magnetization   1.74 μB/atom
Calculated total energy   -5.436 eV per atom
Density   5.34 g/cm3

Structure (CIF):
```
data_CaMn2In
_chemical_formula_sum 'Ca1 Mn2 In1'
_space_group_name_H-M_alt 'P 1'
_space_group_IT_number 1
_cell_length_a 5.5063
_cell_length_b 5.5063
_cell_length_c 5.0577
_cell_angle_alpha 72.03
_cell_angle_beta 72.03
_cell_angle_gamma 34.60
loop_
_space_group_symop_operation_xyz
'x,y,z'
loop_
_atom_site_label
_atom_site_fract_x
_atom_site_fract_y
_atom_site_fract_z
_atom_site_occupancy
Mn1 0.2770 0.2770 0.2419 1
Mn2 0.9866 0.9866 0.9847 1
Ca1 0.5077 0.5077 0.4702 1
In1 0.7287 0.7287 0.8032 1
```


# 5
Ca2MnIn after structural relaxation. Source: the Alexandria database, functional GGA-PBE.

Values from the calculation:
Spin magnetization   0.99 μB/atom
Calculated total energy   -3.747 eV per atom
Density   3.60 g/cm3

Structure (CIF):
```
data_Ca2MnIn
_chemical_formula_sum 'Ca2 Mn1 In1'
_space_group_name_H-M_alt 'P 1'
_space_group_IT_number 1
_cell_length_a 10.2114
_cell_length_b 10.2114
_cell_length_c 10.2114
_cell_angle_alpha 20.60
_cell_angle_beta 20.60
_cell_angle_gamma 20.60
loop_
_space_group_symop_operation_xyz
'x,y,z'
loop_
_atom_site_label
_atom_site_fract_x
_atom_site_fract_y
_atom_site_fract_z
_atom_site_occupancy
Ca1 0.4969 0.4969 0.4969 1
Ca2 0.0031 0.0031 0.0031 1
In1 0.2500 0.2500 0.2500 1
Mn1 0.7500 0.7500 0.7500 1
```


# 6
CaMnIn after structural relaxation. Source: the Alexandria database, functional GGA-PBE.

Values from the calculation:
Spin magnetization   1.27 μB/atom
Calculated total energy   -3.970 eV per atom
Density   3.87 g/cm3

Structure (CIF):
```
data_CaMnIn
_chemical_formula_sum 'Ca1 Mn1 In1'
_space_group_name_H-M_alt 'P 1'
_space_group_IT_number 1
_cell_length_a 5.0298
_cell_length_b 5.0298
_cell_length_c 5.0298
_cell_angle_alpha 60.00
_cell_angle_beta 60.00
_cell_angle_gamma 60.00
loop_
_space_group_symop_operation_xyz
'x,y,z'
loop_
_atom_site_label
_atom_site_fract_x
_atom_site_fract_y
_atom_site_fract_z
_atom_site_occupancy
In1 0.0000 0.0000 0.0000 1
Ca1 0.7500 0.7500 0.7500 1
Mn1 0.5000 0.5000 0.5000 1
```


# 7
CaMn2In after structural relaxation. Source: the Alexandria database, functional GGA-PBE.

Values from the calculation:
Spin magnetization   1.83 μB/atom
Calculated total energy   -5.393 eV per atom
Density   5.14 g/cm3

Structure (CIF):
```
data_CaMn2In
_chemical_formula_sum 'Ca1 Mn2 In1'
_space_group_name_H-M_alt 'P 1'
_space_group_IT_number 1
_cell_length_a 3.4607
_cell_length_b 3.4607
_cell_length_c 7.1490
_cell_angle_alpha 90.00
_cell_angle_beta 90.00
_cell_angle_gamma 90.00
loop_
_space_group_symop_operation_xyz
'x,y,z'
loop_
_atom_site_label
_atom_site_fract_x
_atom_site_fract_y
_atom_site_fract_z
_atom_site_occupancy
Mn1 0.0000 0.0000 0.5460 1
Mn2 0.0000 0.0000 0.9540 1
Ca1 0.5000 0.5000 0.2500 1
In1 0.5000 0.5000 0.7500 1
```


# 8
CaMn2In2 after structural relaxation. Source: the Alexandria database, functional GGA-PBE.

Values from the calculation:
Spin magnetization   0.13 μB/atom
Density   6.29 g/cm3
Energy relative to the lowest polymorph listed for this composition   91 meV/atom

Structure (CIF):
```
data_CaMn2In2
_chemical_formula_sum 'Ca1 Mn2 In2'
_space_group_name_H-M_alt 'P 1'
_space_group_IT_number 1
_cell_length_a 3.2926
_cell_length_b 3.2926
_cell_length_c 9.5297
_cell_angle_alpha 80.05
_cell_angle_beta 80.05
_cell_angle_gamma 90.00
loop_
_space_group_symop_operation_xyz
'x,y,z'
loop_
_atom_site_label
_atom_site_fract_x
_atom_site_fract_y
_atom_site_fract_z
_atom_site_occupancy
Mn1 0.7500 0.2500 0.5000 1
Mn2 0.2500 0.7500 0.5000 1
In1 0.6287 0.6287 0.7425 1
In2 0.3713 0.3713 0.2575 1
Ca1 0.0000 0.0000 0.0000 1
```


# 9
Ca2MnIn after structural relaxation. Source: the Alexandria database, functional GGA-PBE.

Values from the calculation:
Spin magnetization   0.01 μB/atom
Calculated total energy   -3.297 eV per atom
Density   4.13 g/cm3

Structure (CIF):
```
data_Ca2MnIn
_chemical_formula_sum 'Ca4 Mn2 In2'
_space_group_name_H-M_alt 'P 1'
_space_group_IT_number 1
_cell_length_a 8.2748
_cell_length_b 8.2748
_cell_length_c 6.5454
_cell_angle_alpha 50.79
_cell_angle_beta 50.79
_cell_angle_gamma 90.00
loop_
_space_group_symop_operation_xyz
'x,y,z'
loop_
_atom_site_label
_atom_site_fract_x
_atom_site_fract_y
_atom_site_fract_z
_atom_site_occupancy
In1 0.0000 0.0000 0.0000 1
In2 0.7500 0.2500 0.5000 1
Ca1 0.5821 0.1250 0.2500 1
Ca2 0.1679 0.6250 0.2500 1
Ca3 0.8750 0.8321 0.7500 1
Ca4 0.3750 0.4179 0.7500 1
Mn1 0.5000 0.5000 0.0000 1
Mn2 0.2500 0.7500 0.5000 1
```


# 10
CaMnIn2 after structural relaxation. Source: the Alexandria database, functional GGA-PBE.

Values from the calculation:
Spin magnetization   1.08 μB/atom
Calculated total energy   -4.041 eV per atom
Density   5.60 g/cm3

Structure (CIF):
```
data_CaMnIn2
_chemical_formula_sum 'Ca1 Mn1 In2'
_space_group_name_H-M_alt 'P 1'
_space_group_IT_number 1
_cell_length_a 5.1438
_cell_length_b 5.1438
_cell_length_c 5.1438
_cell_angle_alpha 60.00
_cell_angle_beta 60.00
_cell_angle_gamma 60.00
loop_
_space_group_symop_operation_xyz
'x,y,z'
loop_
_atom_site_label
_atom_site_fract_x
_atom_site_fract_y
_atom_site_fract_z
_atom_site_occupancy
In1 0.0000 0.0000 0.0000 1
In2 0.2500 0.2500 0.2500 1
Mn1 0.7500 0.7500 0.7500 1
Ca1 0.5000 0.5000 0.5000 1
```


# 11
CaMnIn2 after structural relaxation. Source: the Alexandria database, functional GGA-PBE.

Values from the calculation:
Spin magnetization   0.98 μB/atom
Calculated total energy   -4.109 eV per atom
Density   5.36 g/cm3

Structure (CIF):
```
data_CaMnIn2
_chemical_formula_sum 'Ca1 Mn1 In2'
_space_group_name_H-M_alt 'P 1'
_space_group_IT_number 1
_cell_length_a 4.9666
_cell_length_b 3.4853
_cell_length_c 5.8111
_cell_angle_alpha 89.88
_cell_angle_beta 90.00
_cell_angle_gamma 90.00
loop_
_space_group_symop_operation_xyz
'x,y,z'
loop_
_atom_site_label
_atom_site_fract_x
_atom_site_fract_y
_atom_site_fract_z
_atom_site_occupancy
In1 0.5000 0.2476 0.2689 1
In2 0.0000 0.2491 0.9843 1
Ca1 0.5000 0.7498 0.7492 1
Mn1 0.0000 0.2535 0.4976 1
```


# 12
CaMnIn2 after structural relaxation. Source: the Alexandria database, functional GGA-PBE.

Values from the calculation:
Spin magnetization   0.99 μB/atom
Calculated total energy   -4.099 eV per atom
Density   5.59 g/cm3

Structure (CIF):
```
data_CaMnIn2
_chemical_formula_sum 'Ca1 Mn1 In2'
_space_group_name_H-M_alt 'P 1'
_space_group_IT_number 1
_cell_length_a 5.6572
_cell_length_b 5.6572
_cell_length_c 5.6572
_cell_angle_alpha 132.51
_cell_angle_beta 132.51
_cell_angle_gamma 69.42
loop_
_space_group_symop_operation_xyz
'x,y,z'
loop_
_atom_site_label
_atom_site_fract_x
_atom_site_fract_y
_atom_site_fract_z
_atom_site_occupancy
In1 0.0000 0.0000 0.0000 1
In2 0.2500 0.7500 0.5000 1
Mn1 0.5000 0.5000 0.0000 1
Ca1 0.7500 0.2500 0.5000 1
```


# 13
CaMnIn2 after structural relaxation. Source: the Alexandria database, functional GGA-PBE.

Values from the calculation:
Spin magnetization   1.03 μB/atom
Calculated total energy   -4.113 eV per atom
Density   5.65 g/cm3

Structure (CIF):
```
data_CaMnIn2
_chemical_formula_sum 'Ca1 Mn1 In2'
_space_group_name_H-M_alt 'P 1'
_space_group_IT_number 1
_cell_length_a 7.2410
_cell_length_b 5.5334
_cell_length_c 3.2980
_cell_angle_alpha 90.33
_cell_angle_beta 62.34
_cell_angle_gamma 121.06
loop_
_space_group_symop_operation_xyz
'x,y,z'
loop_
_atom_site_label
_atom_site_fract_x
_atom_site_fract_y
_atom_site_fract_z
_atom_site_occupancy
In1 0.5000 0.0000 0.5000 1
In2 0.0000 0.0000 0.0000 1
Ca1 0.5000 0.5000 0.0000 1
Mn1 0.0000 0.5000 0.5000 1
```


# 14
Ca2MnIn after structural relaxation. Source: the Alexandria database, functional GGA-PBE.

Values from the calculation:
Spin magnetization   1.09 μB/atom
Calculated total energy   -3.948 eV per atom
Density   3.81 g/cm3

Structure (CIF):
```
data_Ca2MnIn
_chemical_formula_sum 'Ca2 Mn1 In1'
_space_group_name_H-M_alt 'P 1'
_space_group_IT_number 1
_cell_length_a 5.2300
_cell_length_b 5.2301
_cell_length_c 3.9871
_cell_angle_alpha 90.00
_cell_angle_beta 90.00
_cell_angle_gamma 90.00
loop_
_space_group_symop_operation_xyz
'x,y,z'
loop_
_atom_site_label
_atom_site_fract_x
_atom_site_fract_y
_atom_site_fract_z
_atom_site_occupancy
In1 0.5000 0.0000 0.5000 1
Mn1 0.0000 0.5000 0.5000 1
Ca1 0.0000 0.0000 0.0000 1
Ca2 0.5000 0.5000 0.0000 1
```


# 15
CaMnIn2 after structural relaxation. Source: the Alexandria database, functional GGA-PBE.

Values from the calculation:
Spin magnetization   0.93 μB/atom
Calculated total energy   -4.255 eV per atom
Density   5.86 g/cm3

Structure (CIF):
```
data_CaMnIn2
_chemical_formula_sum 'Ca1 Mn1 In2'
_space_group_name_H-M_alt 'P 1'
_space_group_IT_number 1
_cell_length_a 3.4567
_cell_length_b 3.4567
_cell_length_c 7.7023
_cell_angle_alpha 90.00
_cell_angle_beta 90.00
_cell_angle_gamma 90.00
loop_
_space_group_symop_operation_xyz
'x,y,z'
loop_
_atom_site_label
_atom_site_fract_x
_atom_site_fract_y
_atom_site_fract_z
_atom_site_occupancy
In1 0.0000 0.0000 0.0422 1
In2 0.0000 0.0000 0.4578 1
Mn1 0.5000 0.5000 0.2500 1
Ca1 0.5000 0.5000 0.7500 1
```